A plane-wave DFT calculation with PBE-GGA was carried out for an optimized crystal structure of U2AlGa4.

a = 9.7928 Å, b = 5.6818 Å, c = 5.8196 Å
α = 119.22°, β = 90.00°, γ = 90.00°
With the nearest neighbours (Å) after each atom.
Fractional coordinates of all 14 atoms:
U 0.5000 0.8774 0.7549  1 U 2.49
U 0.0000 0.3774 0.7549  1 U 2.49
U 0.0000 0.6226 0.2451  1 U 2.49
U 0.5000 0.1226 0.2451  1 U 2.49
Ga 0.7500 0.0007 0.5000  4 Ga 2.54-2.84
Ga 0.2501 0.2501 0.0000  4 Ga 2.54-2.84, 2 Al 2.83
Ga 0.7500 0.5007 0.5000  4 Ga 2.54-2.84
Ga 0.2500 0.9993 0.5000  4 Ga 2.54-2.84
Ga 0.7501 0.2499 0.0000  4 Ga 2.54-2.84, 2 Al 2.83
Ga 0.2499 0.7501 0.0000  4 Ga 2.54-2.84, 2 Al 2.83
Ga 0.2500 0.4993 0.5000  4 Ga 2.54-2.84
Ga 0.7499 0.7499 0.0000  4 Ga 2.54-2.84, 2 Al 2.83
Al 0.0000 0.0000 0.0000  4 Ga 2.83, 4 U 3.10
Al 0.5000 0.5000 0.0000  4 Ga 2.83, 4 U 3.10

spin magnetization	0.42	μB per atom
E_tot	-5.5089	eV per atom
formation enthalpy at 0 K	-0.019	eV per atom
D(E_F)	21.7	states/eV per cell
SG	Fmmm (69)